! Ba4PdBr5 | the Alexandria database | PBE-GGA | relaxed; values from VASP
! volume	412.1	Å³/f.u.
! energy relative to the lowest polymorph listed for this composition	0.0	meV per atom
! symmetry	Immm (71)
! formation energy (no corrections)	-1.72	eV per atom
&SYSTEM
  ibrav = 0, nat = 10, ntyp = 3
/
ATOMIC_SPECIES
Ba 137.33 Ba.upf
Pd 106.42 Pd.upf
Br 79.90 Br.upf
ATOMIC_POSITIONS crystal
Ba 0.186 0.186 0.000
Ba 0.236 0.500 0.736
Ba 0.764 0.500 0.264
Ba 0.814 0.814 0.000
Pd 0.000 0.000 0.000
Br 0.081 0.328 0.753
Br 0.425 0.672 0.753
Br 0.500 0.000 0.500
Br 0.575 0.328 0.247
Br 0.919 0.672 0.247
CELL_PARAMETERS angstrom
-2.425 4.443 9.560
2.425 -4.443 9.560
2.425 4.443 -9.560

! Ba12Pd5Br | the Alexandria database | PBE-GGA | relaxed; values from VASP
! volume	866.4	Å³/f.u.
! symmetry	C2/m (12)
! formation energy (no corrections)	-0.52	eV per atom
&SYSTEM
  ibrav = 0, nat = 18, ntyp = 3
/
ATOMIC_SPECIES
Ba 137.33 Ba.upf
Pd 106.42 Pd.upf
Br 79.90 Br.upf
ATOMIC_POSITIONS crystal
Ba 0.038 0.371 0.114
Ba 0.105 0.105 0.379
Ba 0.186 0.540 0.620
Ba 0.297 0.297 0.886
Ba 0.371 0.038 0.114
Ba 0.460 0.814 0.380
Ba 0.540 0.186 0.620
Ba 0.629 0.962 0.886
Ba 0.703 0.703 0.114
Ba 0.814 0.460 0.380
Ba 0.895 0.895 0.621
Ba 0.962 0.629 0.886
Pd 0.000 0.000 0.000
Pd 0.166 0.834 0.500
Pd 0.333 0.667 0.000
Pd 0.667 0.333 0.000
Pd 0.834 0.166 0.500
Br 0.500 0.500 0.500
CELL_PARAMETERS angstrom
4.063 -7.046 0.000
4.063 7.046 0.000
-2.676 0.000 15.134

! Ba4PdBr2 | the Alexandria database | PBE-GGA | relaxed; values from VASP
! volume	322.3	Å³/f.u.
! symmetry	I4/mmm (139)
! formation energy (no corrections)	-0.95	eV per atom
&SYSTEM
  ibrav = 0, nat = 7, ntyp = 3
/
ATOMIC_SPECIES
Ba 137.33 Ba.upf
Pd 106.42 Pd.upf
Br 79.90 Br.upf
ATOMIC_POSITIONS crystal
Ba 0.000 0.500 0.500
Ba 0.202 0.202 0.000
Ba 0.500 0.000 0.500
Ba 0.798 0.798 0.000
Pd 0.000 0.000 0.000
Br 0.396 0.396 0.000
Br 0.604 0.604 0.000
CELL_PARAMETERS angstrom
-3.119 3.119 8.282
3.119 -3.119 8.282
3.119 3.119 -8.282

! Ba4PdBr5 | the Alexandria database | PBE-GGA | relaxed; values from VASP
! volume	443.1	Å³/f.u.
! energy relative to the lowest polymorph listed for this composition	4.4	meV per atom
! symmetry	C2/m (12)
! formation energy (no corrections)	-1.71	eV per atom
&SYSTEM
  ibrav = 0, nat = 10, ntyp = 3
/
ATOMIC_SPECIES
Ba 137.33 Ba.upf
Pd 106.42 Pd.upf
Br 79.90 Br.upf
ATOMIC_POSITIONS crystal
Ba 0.003 0.003 0.247
Ba 0.336 0.336 0.884
Ba 0.664 0.664 0.116
Ba 0.997 0.997 0.753
Pd 0.500 0.500 0.000
Br 0.169 0.169 0.878
Br 0.171 0.171 0.346
Br 0.500 0.500 0.500
Br 0.829 0.829 0.654
Br 0.831 0.831 0.122
CELL_PARAMETERS angstrom
10.207 -2.399 0.000
10.207 2.399 0.000
-3.218 0.000 9.046

! Ba6Pd3Br2 | the Alexandria database | PBE-GGA | relaxed; values from VASP
! volume	459.5	Å³/f.u.
! symmetry	C2/m (12)
! formation energy (no corrections)	-0.91	eV per atom
&SYSTEM
  ibrav = 0, nat = 11, ntyp = 3
/
ATOMIC_SPECIES
Ba 137.33 Ba.upf
Pd 106.42 Pd.upf
Br 79.90 Br.upf
ATOMIC_POSITIONS crystal
Ba 0.070 0.406 0.217
Ba 0.259 0.259 0.785
Ba 0.406 0.070 0.217
Ba 0.594 0.930 0.783
Ba 0.741 0.741 0.215
Ba 0.930 0.594 0.783
Pd 0.000 0.000 0.000
Pd 0.331 0.669 0.000
Pd 0.669 0.331 0.000
Br 0.166 0.834 0.500
Br 0.834 0.166 0.500
CELL_PARAMETERS angstrom
4.026 -6.967 0.000
4.026 6.967 0.000
-2.691 0.000 8.190

! Ba4PdPtBr2 | the Alexandria database | PBE-GGA | relaxed; values from VASP
! volume	303.8	Å³/f.u.
! symmetry	P2/m (10)
! formation energy (no corrections)	-1.20	eV per atom
&SYSTEM
  ibrav = 0, nat = 8, ntyp = 4
/
ATOMIC_SPECIES
Ba 137.33 Ba.upf
Pd 106.42 Pd.upf
Pt 195.08 Pt.upf
Br 79.90 Br.upf
ATOMIC_POSITIONS crystal
Ba 0.235 0.000 0.213
Ba 0.259 0.500 0.786
Ba 0.741 0.500 0.214
Ba 0.765 0.000 0.787
Pd 0.500 0.000 0.000
Pt 0.000 0.500 0.000
Br 0.000 0.000 0.500
Br 0.500 0.500 0.500
CELL_PARAMETERS angstrom
7.946 0.000 0.000
0.000 4.581 0.000
-2.632 0.000 8.345

Among the records above, which one has the lowest volume?
Ba4PdPtBr2